1.
A relaxed structure of Na2U2CuS6, computed with GGA-PBE.

Output
- size of the total moment (μB/f.u.) = 3.00
- energy (eV per atom) = -6.055
- ΔE_f (raw) (kJ/mol of formula units) = -1209

abc: 7.0376 7.0376 6.9808
angles: 97.46 97.46 124.85
Site moments in Bohr magnetons follow the coordinates.
Atoms (fractional coordinates):
Na (0.8472, 0.1528, 0.0000)  0.00
Na (0.1528, 0.8472, 0.0000)  0.00
U (0.3392, 0.6608, 0.5000)  1.66
U (0.6608, 0.3392, 0.5000)  1.66
Cu (0.0000, 0.0000, 0.5000)  -0.04
S (0.7645, 0.7645, 0.6888)  -0.05
S (0.0551, 0.4360, 0.7252)  -0.06
S (0.2355, 0.2355, 0.3112)  -0.05
S (0.4360, 0.0551, 0.7252)  -0.06
S (0.9449, 0.5640, 0.2748)  -0.06
S (0.5640, 0.9449, 0.2748)  -0.06

---

2.
A relaxed structure of NpPd2I8, computed with GGA-PBE.

Output
- size of the total moment (μB/f.u.) = 3.01
- energy (eV per atom) = -3.599
- ΔE_f (raw) (kJ/mol of formula units) = -373

abc: 13.7050 8.5861 8.5264
angles: 90.26 90.00 142.95
Site moments in Bohr magnetons follow the coordinates.
Atoms (fractional coordinates):
Np (0.0000, 0.0000, 0.0000)  -3.51
Pd (0.8572, 0.7143, 0.6624)  0.04
Pd (0.1428, 0.2857, 0.3376)  0.04
I (0.0056, 0.3301, 0.1404)  0.08
I (0.3244, 0.3301, 0.1404)  0.08
I (0.9944, 0.6699, 0.8596)  0.08
I (0.3983, 0.7967, 0.3683)  0.00
I (0.6756, 0.6699, 0.8596)  0.08
I (0.8767, 0.7534, 0.3253)  0.04
I (0.1233, 0.2466, 0.6747)  0.04
I (0.6017, 0.2033, 0.6317)  0.00

---

3.
A relaxed structure of Pr3Ge2H, computed with GGA-PBE.

Output
- size of the total moment (μB/f.u.) = 0.00
- energy (eV per atom) = -5.222

abc: 4.2917 8.3834 16.7801
angles: 90.00 90.00 90.00
Atoms (fractional coordinates):
Pr (0.2500, 0.3418, 0.7797)
Pr (0.7500, 0.6582, 0.2203)
Pr (0.7500, 0.1582, 0.2797)
Pr (0.2500, 0.8418, 0.7203)
Pr (0.7500, 0.0046, 0.8959)
Pr (0.2500, 0.9954, 0.1041)
Pr (0.2500, 0.4954, 0.3959)
Pr (0.7500, 0.5046, 0.6041)
Pr (0.2500, 0.1331, 0.5693)
Pr (0.7500, 0.8669, 0.4307)
Pr (0.7500, 0.3669, 0.0693)
Pr (0.2500, 0.6331, 0.9307)
Ge (0.2500, 0.2397, 0.9606)
Ge (0.7500, 0.7603, 0.0394)
Ge (0.7500, 0.2603, 0.4606)
Ge (0.2500, 0.7397, 0.5394)
Ge (0.7500, 0.1211, 0.7114)
Ge (0.2500, 0.8789, 0.2886)
Ge (0.2500, 0.3789, 0.2114)
Ge (0.7500, 0.6211, 0.7886)
H (0.2500, 0.3867, 0.6364)
H (0.7500, 0.6133, 0.3636)
H (0.7500, 0.1133, 0.1364)
H (0.2500, 0.8867, 0.8636)

---

4.
A relaxed structure of CaPrGa2Pd2, computed with GGA-PBE.

Output
- ΔE_f (eV per atom) = -0.749
- size of the total moment (μB/f.u.) = 0.00
- energy (eV per atom) = -4.619

abc: 4.4724 4.4724 7.6161
angles: 90.00 90.00 120.00
Atoms (fractional coordinates):
Ca (0.0000, 0.0000, 0.5000)
Pr (0.0000, 0.0000, 0.0000)
Ga (0.6667, 0.3333, 0.7450)
Ga (0.3333, 0.6667, 0.2550)
Pd (0.6667, 0.3333, 0.2513)
Pd (0.3333, 0.6667, 0.7487)

---

5.
A relaxed structure of Pa5S, computed with GGA-PBE.

Output
- size of the total moment (μB/f.u.) = 0.00
- energy (eV per atom) = -8.875
- ΔE_f (raw) (kJ/mol of formula units) = -158

abc: 4.4858 4.4611 7.1161
angles: 108.27 90.00 90.00
Atoms (fractional coordinates):
S (0.0000, 0.0000, 0.0000)
Pa (0.5000, 0.8411, 0.6822)
Pa (0.0000, 0.6552, 0.3104)
Pa (0.5000, 0.5000, 0.0000)
Pa (0.0000, 0.3448, 0.6896)
Pa (0.5000, 0.1589, 0.3178)

---

6.
A relaxed structure of PmPu2C2, computed with GGA-PBE.

Output
- ΔE_f (eV per atom) = 0.226
- size of the total moment (μB/f.u.) = 0.42
- energy (eV per atom) = -10.147

abc: 6.0552 6.0552 6.3043
angles: 110.45 110.45 111.77
Site moments in Bohr magnetons follow the coordinates.
Atoms (fractional coordinates):
Pm (0.1383, 0.8617, 0.2500)  0.00
Pm (0.8617, 0.1383, 0.7500)  0.00
Pu (0.7060, 0.5143, 0.4802)  0.23
Pu (0.4857, 0.2940, 0.0198)  0.23
Pu (0.5143, 0.7060, 0.9802)  0.23
Pu (0.2940, 0.4857, 0.5198)  0.23
C (0.3787, 0.6213, 0.2500)  -0.01
C (0.8158, 0.1842, 0.2500)  -0.01
C (0.1842, 0.8158, 0.7500)  -0.01
C (0.6213, 0.3787, 0.7500)  -0.01

---

7.
A relaxed structure of ErVSb, computed with GGA-PBE.

Output
- size of the total moment (μB/f.u.) = 0.00
- energy (eV per atom) = -6.166
- ΔE_f (raw) (kJ/mol of formula units) = -67

abc: 4.9006 3.4784 11.3267
angles: 71.63 77.51 45.22
Atoms (fractional coordinates):
Sb (0.7607, 0.1699, 0.3088)
Sb (0.2393, 0.8301, 0.6912)
V (0.7284, 0.9807, 0.5625)
V (0.2716, 0.0193, 0.4375)
Er (0.2541, 0.3758, 0.1159)
Er (0.7459, 0.6242, 0.8841)

---

8.
A relaxed structure of Dy5TmSc4, computed with GGA-PBE.

Output
- ΔE_f (eV per atom) = 0.340
- size of the total moment (μB/f.u.) = 0.00
- energy (eV per atom) = -4.940

abc: 6.1275 7.5680 7.5680
angles: 80.57 66.12 66.12
Atoms (fractional coordinates):
Dy (0.8045, 0.3910, 0.9034)
Dy (0.1955, 0.9034, 0.6090)
Dy (0.7079, 0.0966, 0.3910)
Dy (0.0989, 0.6090, 0.0966)
Dy (0.6796, 0.0000, 0.0000)
Tm (0.2209, 0.0000, 0.0000)
Sc (0.3956, 0.4116, 0.6987)
Sc (0.8072, 0.6987, 0.5884)
Sc (0.0943, 0.3013, 0.4116)
Sc (0.5059, 0.5884, 0.3013)

---

- Look up the size of the total moment of the seventh one.
  0.00 μB/f.u.